#w
Entry from Alexandria: CuSiAs2 after structural relaxation (PBE-GGA).

Unit cell a=4.9539 b=4.9539 c=2.7121 alpha=90.00 beta=90.00 gamma=90.00
Fractional positions:
Cu (0.0000, 0.0000, 0.0000)
Si (0.5000, 0.5000, 0.0000)
As (0.0000, 0.5000, 0.5000)
As (0.5000, 0.0000, 0.5000)

## Properties
symmetry = P4/mmm (123)
crystal system = tetragonal

=====

#x
Entry from Alexandria: CuSiAs2 after structural relaxation (PBE-GGA).

Unit cell a=3.3632 b=3.3632 c=6.7397 alpha=90.00 beta=90.00 gamma=90.00
Fractional positions:
Cu (0.0000, 0.0000, 0.0000)
Si (0.5000, 0.5000, 0.2170)
As (0.0000, 0.0000, 0.3731)
As (0.5000, 0.5000, 0.8498)

## Properties
symmetry = P4mm (99)
crystal system = tetragonal

=====

#y
Entry from Alexandria: CuSiAs2 after structural relaxation (PBE-GGA).

Unit cell a=4.5226 b=4.5226 c=4.5226 alpha=60.00 beta=60.00 gamma=60.00
Fractional positions:
Cu (0.0000, 0.0000, 0.0000)
Si (0.5000, 0.5000, 0.5000)
As (0.2500, 0.2500, 0.2500)
As (0.7500, 0.7500, 0.7500)

## Properties
symmetry = Fm-3m (225)
crystal system = cubic

=====

Name the least stable of them. #y.

=====

#w
Entry from Alexandria: CuSiAs2 after structural relaxation (PBE-GGA).

Unit cell a=4.5646 b=4.5646 c=4.5646 alpha=60.00 beta=60.00 gamma=60.00
Fractional positions:
Cu (0.0000, 0.0000, 0.0000)
Si (0.7500, 0.7500, 0.7500)
As (0.2500, 0.2500, 0.2500)
As (0.5000, 0.5000, 0.5000)

## Properties
symmetry = F-43m (216)
crystal system = cubic

=====

#x
Entry from Alexandria: CuSiAs2 after structural relaxation (PBE-GGA).

Unit cell a=6.6893 b=6.6893 c=6.6893 alpha=130.70 beta=130.70 gamma=72.29
Fractional positions:
Cu (0.0000, 0.0000, 0.0000)
Cu (0.7500, 0.2500, 0.5000)
Si (0.2500, 0.7500, 0.5000)
Si (0.5000, 0.5000, 0.0000)
As (0.1213, 0.6250, 0.9963)
As (0.3750, 0.3713, 0.4963)
As (0.6287, 0.1250, 0.0037)
As (0.8750, 0.8787, 0.5037)

## Properties
symmetry = I-42d (122)
crystal system = tetragonal

=====

Name the least stable of them. #w.

=====

#w
Entry from Alexandria: CuSiAs after structural relaxation (PBE-GGA).

Unit cell a=7.3262 b=7.3222 c=2.6824 alpha=79.53 beta=79.36 gamma=21.10
Fractional positions:
Cu (0.0000, 0.0000, 0.0000)
Si (0.6266, 0.6266, 0.3734)
As (0.3577, 0.3577, 0.6423)

## Properties
symmetry = Fmm2 (42)
crystal system = orthorhombic

=====

#x
Entry from Alexandria: CuSiAs after structural relaxation (PBE-GGA).

Unit cell a=4.2582 b=6.4336 c=6.4336 alpha=143.15 beta=90.00 gamma=90.00
Fractional positions:
Cu (0.2500, 0.1336, 0.8664)
Cu (0.7500, 0.8664, 0.1336)
Si (0.2500, 0.7428, 0.8502)
Si (0.7500, 0.8502, 0.7428)
As (0.2500, 0.1382, 0.4734)
As (0.7500, 0.4734, 0.1382)

## Properties
symmetry = Ama2 (40)
crystal system = orthorhombic

=====

Name the least stable of them. #w.

=====

#w
Entry from Alexandria: CuSiAs after structural relaxation (PBE-GGA).

Unit cell a=2.7572 b=2.7572 c=7.5154 alpha=90.00 beta=90.00 gamma=120.00
Fractional positions:
Cu (0.0000, 0.0000, 0.0000)
Si (0.6667, 0.3333, 0.2688)
As (0.3333, 0.6667, 0.7137)

## Properties
symmetry = P3m1 (156)
crystal system = trigonal

=====

#x
Entry from Alexandria: CuSiAs after structural relaxation (PBE-GGA).

Unit cell a=3.6644 b=3.9849 c=8.0106 alpha=98.30 beta=94.96 gamma=101.35
Fractional positions:
Cu (0.2349, 0.1493, 0.1371)
Cu (0.7651, 0.8507, 0.8629)
Si (0.3525, 0.2878, 0.8662)
Si (0.6475, 0.7122, 0.1338)
As (0.1900, 0.7056, 0.3317)
As (0.8100, 0.2944, 0.6683)

## Properties
symmetry = P-1 (2)
crystal system = triclinic

=====

Name the least stable of them. #w.

=====

#w
Entry from Alexandria: CuSiAs after structural relaxation (PBE-GGA).

Unit cell a=4.5430 b=4.5430 c=2.6945 alpha=90.00 beta=90.00 gamma=120.00
Fractional positions:
Cu (0.0000, 0.0000, 0.0000)
Si (0.3333, 0.6667, 0.0000)
As (0.6667, 0.3333, 0.0000)

## Properties
symmetry = P-6m2 (187)
crystal system = hexagonal

=====

#x
Entry from Alexandria: CuSiAs after structural relaxation (PBE-GGA).

Unit cell a=4.0534 b=4.2572 c=6.4871 alpha=90.00 beta=107.70 gamma=90.00
Fractional positions:
Cu (0.1662, 0.2500, 0.2501)
Cu (0.8338, 0.7500, 0.7499)
Si (0.4526, 0.7500, 0.3892)
Si (0.5474, 0.2500, 0.6108)
As (0.1726, 0.2500, 0.8400)
As (0.8274, 0.7500, 0.1600)

## Properties
symmetry = P2_1/m (11)
crystal system = monoclinic

=====

#y
Entry from Alexandria: CuSiAs after structural relaxation (PBE-GGA).

Unit cell a=6.6523 b=6.6523 c=2.7851 alpha=101.05 beta=101.05 gamma=24.16
Fractional positions:
Cu (0.0000, 0.0000, 0.0000)
Si (0.6082, 0.6082, 0.6015)
As (0.7999, 0.7999, 0.7669)

## Properties
symmetry = Cm (8)
crystal system = monoclinic

=====

#z
Entry from Alexandria: CuSiAs after structural relaxation (PBE-GGA).

Unit cell a=4.0985 b=4.1131 c=6.4267 alpha=78.30 beta=89.45 gamma=83.96
Fractional positions:
Cu (0.0000, 0.0000, 0.0000)
Cu (0.4370, 0.6489, 0.3493)
Si (0.1738, 0.8051, 0.6661)
Si (0.6774, 0.0619, 0.4765)
As (0.4659, 0.2431, 0.8065)
As (0.9749, 0.4418, 0.2053)

## Properties
symmetry = P1 (1)
crystal system = triclinic

=====

Name the least stable of them. #w.

=====

#w
Entry from Alexandria: CuSiAs after structural relaxation (PBE-GGA).

Unit cell a=3.7491 b=4.3816 c=7.6591 alpha=92.73 beta=103.77 gamma=114.93
Fractional positions:
Cu (0.1470, 0.4113, 0.3772)
Cu (0.8530, 0.5887, 0.6228)
Si (0.1798, 0.2037, 0.6542)
Si (0.8202, 0.7963, 0.3458)
As (0.2094, 0.7830, 0.1322)
As (0.7906, 0.2170, 0.8678)

## Properties
symmetry = P-1 (2)
crystal system = triclinic

=====

#x
Entry from Alexandria: CuSiAs after structural relaxation (PBE-GGA).

Unit cell a=3.9929 b=4.2454 c=6.5297 alpha=88.94 beta=72.31 gamma=89.51
Fractional positions:
Cu (0.0000, 0.0000, 0.0000)
Cu (0.0922, 0.5852, 0.4125)
Si (0.5901, 0.9456, 0.3970)
Si (0.6958, 0.4473, 0.1945)
As (0.3229, 0.5090, 0.9583)
As (0.9736, 0.0867, 0.6205)

## Properties
symmetry = P1 (1)
crystal system = triclinic

=====

Name the least stable of them. #x.

=====

#w
Entry from Alexandria: CuSiAs after structural relaxation (PBE-GGA).

Unit cell a=4.1629 b=4.1629 c=4.1629 alpha=60.00 beta=60.00 gamma=60.00
Fractional positions:
Cu (0.0000, 0.0000, 0.0000)
Si (0.2500, 0.2500, 0.2500)
As (0.7500, 0.7500, 0.7500)

## Properties
symmetry = F-43m (216)
crystal system = cubic

=====

#x
Entry from Alexandria: CuSiAs after structural relaxation (PBE-GGA).

Unit cell a=4.4325 b=4.6276 c=5.4627 alpha=77.06 beta=72.59 gamma=75.47
Fractional positions:
Cu (0.2359, 0.3735, 0.2896)
Cu (0.7641, 0.6265, 0.7104)
Si (0.0911, 0.2358, 0.9495)
Si (0.9089, 0.7642, 0.0505)
As (0.4048, 0.8101, 0.3830)
As (0.5952, 0.1899, 0.6170)

## Properties
symmetry = P-1 (2)
crystal system = triclinic

=====

Name the least stable of them. #w.

=====

#w
Entry from Alexandria: Cu2Si2As after structural relaxation (PBE-GGA).

Unit cell a=7.5807 b=7.5807 c=2.5761 alpha=90.00 beta=90.00 gamma=90.00
Fractional positions:
Cu (0.1144, 0.3856, 0.0000)
Cu (0.3856, 0.8856, 0.0000)
Cu (0.6144, 0.1144, 0.0000)
Cu (0.8856, 0.6144, 0.0000)
Si (0.1840, 0.6840, 0.5000)
Si (0.3160, 0.1840, 0.5000)
Si (0.6840, 0.8160, 0.5000)
Si (0.8160, 0.3160, 0.5000)
As (0.0000, 0.0000, 0.5000)
As (0.5000, 0.5000, 0.5000)

## Properties
symmetry = P4/mbm (127)
crystal system = tetragonal

=====

#x
Entry from Alexandria: Cu2Si2As after structural relaxation (PBE-GGA).

Unit cell a=7.4047 b=7.4047 c=2.6750 alpha=90.00 beta=90.00 gamma=90.00
Fractional positions:
Cu (0.1734, 0.3266, 0.0000)
Cu (0.3266, 0.8266, 0.0000)
Cu (0.6734, 0.1734, 0.0000)
Cu (0.8266, 0.6734, 0.0000)
Si (0.1236, 0.6236, 0.5000)
Si (0.3764, 0.1236, 0.5000)
Si (0.6236, 0.8764, 0.5000)
Si (0.8764, 0.3764, 0.5000)
As (0.0000, 0.0000, 0.0000)
As (0.5000, 0.5000, 0.0000)

## Properties
symmetry = P4/mbm (127)
crystal system = tetragonal

=====

#y
Entry from Alexandria: Cu2Si2As after structural relaxation (PBE-GGA).

Unit cell a=6.3243 b=6.3243 c=6.3243 alpha=146.93 beta=146.93 gamma=47.47
Fractional positions:
Cu (0.1057, 0.1057, 0.0000)
Cu (0.8943, 0.8943, 0.0000)
Si (0.2500, 0.7500, 0.5000)
Si (0.7500, 0.2500, 0.5000)
As (0.5000, 0.5000, 0.0000)

## Properties
symmetry = I4/mmm (139)
crystal system = tetragonal

=====

Name the least stable of them. #x.

=====

#w
Entry from Alexandria: Cu2SnAs after structural relaxation (PBE-GGA).

Unit cell a=4.6261 b=4.6261 c=4.6261 alpha=60.00 beta=60.00 gamma=60.00
Fractional positions:
Cu (0.2500, 0.2500, 0.2500)
Cu (0.7500, 0.7500, 0.7500)
Sn (0.0000, 0.0000, 0.0000)
As (0.5000, 0.5000, 0.5000)

## Properties
symmetry = Fm-3m (225)
crystal system = cubic

=====

#x
Entry from Alexandria: Cu2SnAs after structural relaxation (PBE-GGA).

Unit cell a=8.4056 b=8.4056 c=8.4056 alpha=149.06 beta=149.06 gamma=44.32
Fractional positions:
Cu (0.0395, 0.6250, 0.9145)
Cu (0.3750, 0.2895, 0.4145)
Cu (0.7105, 0.1250, 0.0855)
Cu (0.8750, 0.9605, 0.5855)
Sn (0.2500, 0.7500, 0.5000)
Sn (0.5000, 0.5000, 0.0000)
As (0.0000, 0.0000, 0.0000)
As (0.7500, 0.2500, 0.5000)

## Properties
symmetry = I-42d (122)
crystal system = tetragonal

=====

#y
Entry from Alexandria: Cu2SnAs after structural relaxation (PBE-GGA).

Unit cell a=5.9332 b=5.9332 c=5.9332 alpha=38.58 beta=38.58 gamma=38.58
Fractional positions:
Cu (0.2276, 0.2276, 0.2276)
Cu (0.7724, 0.7724, 0.7724)
Sn (0.0000, 0.0000, 0.0000)
As (0.5000, 0.5000, 0.5000)

## Properties
symmetry = R-3m (166)
crystal system = trigonal

=====

Name the least stable of them. #w.

=====

#w
Entry from Alexandria: Cu2SnAs2 after structural relaxation (PBE-GGA).

Unit cell a=5.9197 b=5.9197 c=5.9197 alpha=137.40 beta=137.40 gamma=61.83
Fractional positions:
Cu (0.2500, 0.7500, 0.5000)
Cu (0.7500, 0.2500, 0.5000)
Sn (0.0000, 0.0000, 0.0000)
As (0.3753, 0.3753, 0.0000)
As (0.6247, 0.6247, 0.0000)

## Properties
symmetry = I4/mmm (139)
crystal system = tetragonal

=====

#x
Entry from Alexandria: Cu2SnAs2 after structural relaxation (PBE-GGA).

Unit cell a=7.8580 b=7.8580 c=2.9290 alpha=90.00 beta=90.00 gamma=90.00
Fractional positions:
Cu (0.1178, 0.3822, 0.0000)
Cu (0.3822, 0.8822, 0.0000)
Cu (0.6178, 0.1178, 0.0000)
Cu (0.8822, 0.6178, 0.0000)
Sn (0.0000, 0.0000, 0.5000)
Sn (0.5000, 0.5000, 0.5000)
As (0.1692, 0.6692, 0.5000)
As (0.3308, 0.1692, 0.5000)
As (0.6692, 0.8308, 0.5000)
As (0.8308, 0.3308, 0.5000)

## Properties
symmetry = P4/mbm (127)
crystal system = tetragonal

=====

Name the least stable of them. #x.

=====

#w
Entry from Alexandria: CuSn3As after structural relaxation (PBE-GGA).

Unit cell a=5.0531 b=5.0531 c=5.0531 alpha=90.00 beta=90.00 gamma=90.00
Fractional positions:
Cu (0.0000, 0.0000, 0.0000)
Sn (0.0000, 0.0000, 0.5000)
Sn (0.0000, 0.5000, 0.0000)
Sn (0.5000, 0.0000, 0.0000)
As (0.5000, 0.5000, 0.5000)

## Properties
symmetry = Pm-3m (221)
crystal system = cubic

=====

#x
Entry from Alexandria: CuSn3As after structural relaxation (PBE-GGA).

Unit cell a=5.4377 b=5.4377 c=5.4377 alpha=90.00 beta=90.00 gamma=90.00
Fractional positions:
Cu (0.0000, 0.0000, 0.0000)
Sn (0.0000, 0.5000, 0.5000)
Sn (0.5000, 0.0000, 0.5000)
Sn (0.5000, 0.5000, 0.0000)
As (0.5000, 0.5000, 0.5000)

## Properties
symmetry = Pm-3m (221)
crystal system = cubic

=====

Name the least stable of them. #x.